[1]
Th2Ge5Ir3: optimized geometry, PBE.

The calculation puts the energy of formation from the pure elements at -7.06 eV per formula unit.

It has space group Cmc2_1 (No. 36), with a = 4.346 Å, b = 25.052 Å, c = 6.990 Å, α = 90.00°, β = 90.00° and γ = 90.00°. The asymmetric unit holds Th at (0.000, 0.023, 0.000), Th at (0.000, 0.325, 0.995), Ge at (0.000, 0.100, 0.637), Ge at (0.000, 0.206, 0.183), Ge at (0.000, 0.210, 0.773), Ge at (0.000, 0.378, 0.518), Ge at (0.000, 0.449, 0.840), Ir at (0.000, 0.108, 0.267), Ir at (0.000, 0.277, 0.472) and Ir at (0.000, 0.445, 0.219).


[2]
ZnPt2: optimized geometry, PBE.

The calculation puts the energy of formation from the pure elements at -0.70 eV per formula unit.

It has space group Imma (No. 74), with a = 2.763 Å, b = 3.680 Å, c = 19.369 Å, α = 90.00°, β = 90.00° and γ = 90.00°. The asymmetric unit holds Zn at (0.000, 0.250, 0.121), Pt at (0.000, 0.250, 0.551) and Pt at (0.000, 0.250, 0.692).


[3]
Pr6NdHg2: optimized geometry, PBE.

The calculation puts the energy of formation from the pure elements at -1.89 eV per formula unit.

It has space group C2/m (No. 12), with a = 13.111 Å, b = 3.849 Å, c = 12.418 Å, α = 90.00°, β = 108.58° and γ = 90.00°. The asymmetric unit holds Pr at (0.023, 0.000, 0.337), Pr at (0.185, 0.500, 0.875), Pr at (0.189, 0.500, 0.589), Nd at (0.000, 0.000, 0.000) and Hg at (0.142, 0.500, 0.200).


[4]
TlSi2Ag: optimized geometry, PBE.

As for the formation energy (no corrections): 368 meV/atom.

It has space group Pm (No. 6), with a = 2.967 Å, b = 3.573 Å, c = 7.665 Å, α = 90.00°, β = 99.70° and γ = 90.00°. The asymmetric unit holds Tl at (0.000, 0.000, 0.000), Si at (0.260, 0.000, 0.515), Si at (0.828, 0.500, 0.663) and Ag at (0.643, 0.500, 0.292).


[5]
Th2NbP3Rh4: optimized geometry, PBE.

The calculation puts the energy of formation from the pure elements at -10.07 eV per formula unit.

It has space group P-4m2 (No. 115), with a = 4.103 Å, b = 4.103 Å, c = 10.447 Å, α = 90.00°, β = 90.00° and γ = 90.00°. The asymmetric unit holds Th at (0.000, 0.500, 0.235), Nb at (0.000, 0.000, 0.500), P at (0.000, 0.500, 0.867), P at (0.500, 0.500, 0.500), Rh at (0.000, 0.000, 0.000), Rh at (0.000, 0.500, 0.640) and Rh at (0.500, 0.500, 0.000).